SnS2F: optimized geometry, GGA-PBEsol.

Cell and atoms, written as extended XYZ:
```
8
Lattice="5.9499 1.3945 2.0608 -1.4844 5.9281 -2.0608 -1.4844 -4.1176 4.7365" Properties=species:S:1:pos:R:3 pbc="T T T"
S 4.6438 -0.7542 4.7635
S 0.5700 2.1638 3.6651
S -0.9205 3.5065 -0.6960
S 1.6688 1.4937 1.7403
Sn 0.0000 0.0000 0.0000
Sn 1.4905 4.1139 0.6689
F 1.4905 -0.9089 4.0676
F -1.4844 0.9052 1.3378
```

The calculation puts the formation energy (no corrections) at -741 meV/atom. The total magnetic moment is 0.00 μB/f.u. The relative energy among the computed polymorphs is 0 meV per atom. As for the energy: -4.48 eV per atom.

SiIr2Au: optimized geometry, GGA-PBEsol.

Cell and atoms, written as extended XYZ:
```
4
Lattice="-0.3137 -0.6126 -2.6453 4.3901 -0.9675 -0.2966 -0.9253 -4.5557 1.1646" Properties=species:S:1:pos:R:3 pbc="T T T"
Ir 0.0000 0.0000 0.0000
Ir -0.6195 -2.5841 -0.7403
Si 2.0382 -0.7900 -1.4709
Au 1.7324 -2.7616 0.4340
```

The calculation puts the formation energy (no corrections) at 194 meV/atom. The total magnetic moment is 0.00 μB/f.u. As for the energy: -7.14 eV per atom.

Ca2TiFeSn: optimized geometry, GGA-PBEsol.

Cell and atoms, written as extended XYZ:
```
5
Lattice="-2.6924 -1.3391 -2.6646 -2.0339 -3.6988 3.9140 -3.7576 3.9718 1.8008" Properties=species:S:1:pos:R:3 pbc="T T T"
Sn -4.2419 -0.5331 1.5251
Ti 0.0000 0.0000 0.0000
Ca -1.0169 -1.8494 1.9570
Ca -1.8788 1.9859 0.9004
Fe -1.3462 -0.6696 -1.3323
```

The total magnetic moment is 0.08 μB/f.u. The formation energy comes out at 582 meV per atom. As for the energy: -4.58 eV per atom.

IrOsRu2: optimized geometry, GGA-PBEsol.

Cell and atoms, written as extended XYZ:
```
4
Lattice="2.6789 0.0000 0.0000 0.0000 4.6520 -0.0055 0.0000 -1.5603 4.3863" Properties=species:S:1:pos:R:3 pbc="T T T"
Os 0.0000 1.5459 2.1904
Ir 1.3395 2.3260 -0.0027
Ru 1.3395 -0.7802 2.1932
Ru 0.0000 0.0000 0.0000
```

The total magnetic moment is 0.00 μB/f.u. The relative energy among the computed polymorphs is 11 meV per atom. The formation energy comes out at 46 meV per atom. As for the energy: -10.55 eV per atom.

N(E_F) values (in states/eV per cell) by entry order: 4.8; 2.6; 3.9; 3.8.